VASP calculation (PBE) on an optimized crystal structure of TbCe2ScSe5.

Values from the calculation:
The symmetry is P4/mmm. The uncorrected formation energy is -1237 meV/atom. The calculation puts the density of states at the Fermi level at 19.84 states/eV/cell. As for the total energy: -51.4 eV/cell.

a = 5.2038 Å, b = 5.2038 Å, c = 10.4378 Å
α = 90.00°, β = 90.00°, γ = 90.00°
Last column: nearest neighbours and their distance in Å.
Fractional positions:
1 Tb 0.0000 0.0000 0.0000  6 Se 2.60-2.75
2 Ce 0.5000 0.5000 0.2048  5 Se 3.08-3.37
3 Ce 0.5000 0.5000 0.7952  5 Se 3.08-3.37
4 Sc 0.0000 0.0000 0.5000  2 Se 2.47
5 Se 0.0000 0.0000 0.2637  1 Sc 2.47, 1 Tb 2.75
6 Se 0.0000 0.0000 0.7363  1 Sc 2.47, 1 Tb 2.75
7 Se 0.0000 0.5000 0.0000  2 Tb 2.60
8 Se 0.5000 0.0000 0.0000  2 Tb 2.60
9 Se 0.5000 0.5000 0.5000  2 Ce 3.08